# ZrNbAlCo, relaxed, DFT PBE
data_ZrNbAlCo
_chemical_formula_sum 'Zr1 Nb1 Al1 Co1'
_symmetry_space_group_name_H-M 'P 1'
_symmetry_Int_Tables_number 1
_cell_length_a 4.544
_cell_length_b 4.544
_cell_length_c 4.544
_cell_angle_alpha 60.00
_cell_angle_beta 60.00
_cell_angle_gamma 60.00
loop_
_symmetry_equiv_pos_as_xyz
'x,y,z'
loop_
_atom_site_label
_atom_site_type_symbol
_atom_site_fract_x
_atom_site_fract_y
_atom_site_fract_z
Zr1 Zr 0.000 0.000 0.000
Nb1 Nb 0.250 0.250 0.250
Al1 Al 0.500 0.500 0.500
Co1 Co 0.750 0.750 0.750
# * DFT total energy: -7.39 eV/atom
# * ρ: 6.76 g/cm³
# * distance to the lowest polymorph of the same formula: 0.0000 eV/atom